# PBE Sm6Tm2In, relaxed
# Size of the total moment, μB per atom: 0.000
# Formation energy from the elements, meV/atom: -36
# Energy, Ry/atom: -0.3292
# Space-group type: C2/c, No. 15
# Excess energy over the best structure of this formula in the dataset, kJ/mol of atoms: 3.2
data_Sm6Tm2In
_chemical_formula_sum 'Sm12 Tm4 In2'
_symmetry_space_group_name_H-M 'P 1'
_symmetry_Int_Tables_number 1
_symmetry_space_group_name_Hall 'P 1'
_cell_length_a 11.362
_cell_length_b 11.362
_cell_length_c 6.211
_cell_angle_alpha 105.81
_cell_angle_beta 105.81
_cell_angle_gamma 47.94
loop_
_atom_site_label
_atom_site_fract_x
_atom_site_fract_y
_atom_site_fract_z
_atom_site_occupancy
Sm1 0.007 0.152 0.223 1
Sm2 0.081 0.581 0.081 1
Sm3 0.152 0.007 0.723 1
Sm4 0.349 0.493 0.564 1
Sm5 0.419 0.919 0.419 1
Sm6 0.493 0.349 0.064 1
Sm7 0.507 0.651 0.936 1
Sm8 0.581 0.081 0.581 1
Sm9 0.651 0.507 0.436 1
Sm10 0.848 0.993 0.277 1
Sm11 0.919 0.419 0.919 1
Sm12 0.993 0.848 0.777 1
Tm1 0.172 0.329 0.567 1
Tm2 0.329 0.172 0.067 1
Tm3 0.671 0.828 0.933 1
Tm4 0.828 0.671 0.433 1
In1 0.249 0.751 0.250 1
In2 0.751 0.249 0.750 1

# PBE Mg3ZrTi, relaxed
# Size of the total moment, μB per atom: 0.432
# Formation energy from the elements, meV/atom: 1017
# Energy, Ry/atom: -0.2373
# Space-group type: Pm-3m, No. 221
# Excess energy over the best structure of this formula in the dataset, kJ/mol of atoms: 0.0
data_Mg3ZrTi
_chemical_formula_sum 'Mg3 Zr1 Ti1'
_symmetry_space_group_name_H-M 'P 1'
_symmetry_Int_Tables_number 1
_symmetry_space_group_name_Hall 'P 1'
_cell_length_a 5.013
_cell_length_b 5.013
_cell_length_c 5.013
_cell_angle_alpha 90.00
_cell_angle_beta 90.00
_cell_angle_gamma 90.00
loop_
_atom_site_label
_atom_site_fract_x
_atom_site_fract_y
_atom_site_fract_z
_atom_site_occupancy
Mg1 0.000 0.000 0.500 1
Mg2 0.000 0.500 0.000 1
Mg3 0.500 0.000 0.000 1
Zr1 0.500 0.500 0.500 1
Ti1 0.000 0.000 0.000 1

# PBE UFeIrRu, relaxed
# Size of the total moment, μB per atom: 0.147
# Formation energy from the elements, meV/atom: -370
# Energy, Ry/atom: -0.7234
# Space-group type: Pmmm, No. 47
data_UFeIrRu
_chemical_formula_sum 'U1 Fe1 Ir1 Ru1'
_symmetry_space_group_name_H-M 'P 1'
_symmetry_Int_Tables_number 1
_symmetry_space_group_name_Hall 'P 1'
_cell_length_a 3.899
_cell_length_b 3.938
_cell_length_c 4.026
_cell_angle_alpha 90.00
_cell_angle_beta 90.00
_cell_angle_gamma 90.00
loop_
_atom_site_label
_atom_site_fract_x
_atom_site_fract_y
_atom_site_fract_z
_atom_site_occupancy
U1 0.000 0.000 0.000 1
Fe1 0.500 0.000 0.500 1
Ir1 0.000 0.500 0.500 1
Ru1 0.500 0.500 0.000 1

# PBE Sm14ErSc, relaxed
# Size of the total moment, μB per atom: 0.000
# Formation energy from the elements, meV/atom: 24
# Energy, Ry/atom: -0.3518
# Space-group type: P4/mmm, No. 123
data_Sm14ErSc
_chemical_formula_sum 'Sm14 Er1 Sc1'
_symmetry_space_group_name_H-M 'P 1'
_symmetry_Int_Tables_number 1
_symmetry_space_group_name_Hall 'P 1'
_cell_length_a 7.208
_cell_length_b 7.208
_cell_length_c 10.147
_cell_angle_alpha 90.00
_cell_angle_beta 90.00
_cell_angle_gamma 90.00
loop_
_atom_site_label
_atom_site_fract_x
_atom_site_fract_y
_atom_site_fract_z
_atom_site_occupancy
Sm1 0.000 0.000 0.000 1
Sm2 0.000 0.500 0.000 1
Sm3 0.000 0.500 0.500 1
Sm4 0.248 0.248 0.254 1
Sm5 0.248 0.248 0.746 1
Sm6 0.248 0.752 0.254 1
Sm7 0.248 0.752 0.746 1
Sm8 0.500 0.000 0.000 1
Sm9 0.500 0.000 0.500 1
Sm10 0.500 0.500 0.000 1
Sm11 0.752 0.248 0.254 1
Sm12 0.752 0.248 0.746 1
Sm13 0.752 0.752 0.254 1
Sm14 0.752 0.752 0.746 1
Er1 0.500 0.500 0.500 1
Sc1 0.000 0.000 0.500 1

# PBE KGaSnTe3, relaxed
# Size of the total moment, μB per atom: 0.000
# ΔE_f (raw), eV/atom: -0.510
# Energy, Ry/atom: -0.2525
# Space-group type: P2_1/m, No. 11
data_KGaSnTe3
_chemical_formula_sum 'K2 Ga2 Sn2 Te6'
_symmetry_space_group_name_H-M 'P 1'
_symmetry_Int_Tables_number 1
_symmetry_space_group_name_Hall 'P 1'
_cell_length_a 9.747
_cell_length_b 4.551
_cell_length_c 10.763
_cell_angle_alpha 90.00
_cell_angle_beta 106.94
_cell_angle_gamma 90.00
loop_
_atom_site_label
_atom_site_fract_x
_atom_site_fract_y
_atom_site_fract_z
_atom_site_occupancy
K1 0.211 0.250 0.228 1
K2 0.789 0.750 0.772 1
Ga1 0.079 0.250 0.625 1
Ga2 0.921 0.750 0.375 1
Sn1 0.337 0.750 0.878 1
Sn2 0.663 0.250 0.122 1
Te1 0.090 0.250 0.868 1
Te2 0.192 0.750 0.545 1
Te3 0.458 0.750 0.163 1
Te4 0.542 0.250 0.837 1
Te5 0.808 0.250 0.455 1
Te6 0.910 0.750 0.132 1